No. 1
# ScP2Se PBE optimized geometry
# **Uncorrected formation energy**: -0.28 eV/atom
# **Electronic total energy**: -43.49 eV per cell
data_ScP2Se
_cell_length_a 3.8263
_cell_length_b 3.8263
_cell_length_c 9.6505
_cell_angle_alpha 90.00
_cell_angle_beta 90.00
_cell_angle_gamma 90.00
_symmetry_space_group_name_H-M 'I -4 m 2'
_symmetry_Int_Tables_number 119
_symmetry_space_group_name_Hall 'I -4 -2'
loop_
_atom_site_label
_atom_site_type_symbol
_atom_site_fract_x
_atom_site_fract_y
_atom_site_fract_z
Sc1 Sc 0.0000 0.0000 0.0000
P1 P 0.0000 0.0000 0.5000
P2 P 0.0000 0.5000 0.2500
Se1 Se 0.0000 0.5000 0.7500



No. 2
# ScP2Se PBE optimized geometry
# **Uncorrected formation energy**: -0.74 eV/atom
# **Electronic total energy**: -23.59 eV per cell
data_ScP2Se
_cell_length_a 3.7179
_cell_length_b 3.5655
_cell_length_c 5.8862
_cell_angle_alpha 90.00
_cell_angle_beta 108.17
_cell_angle_gamma 90.00
_symmetry_space_group_name_H-M 'P 1 m 1'
_symmetry_Int_Tables_number 6
loop_
_symmetry_equiv_pos_as_xyz
'x,y,z'
'x,-y,z'
loop_
_atom_site_label
_atom_site_type_symbol
_atom_site_fract_x
_atom_site_fract_y
_atom_site_fract_z
Sc1 Sc 0.0000 0.0000 0.0000
P1 P 0.0358 0.5000 0.3667
P2 P 0.6733 0.0000 0.3820
Se1 Se 0.4213 0.5000 0.8276



No. 3
# ScP2Se PBE optimized geometry
# **Uncorrected formation energy**: -0.37 eV/atom
# **Electronic total energy**: -22.13 eV per cell
data_ScP2Se
_cell_length_a 3.6269
_cell_length_b 3.6393
_cell_length_c 5.5968
_cell_angle_alpha 90.00
_cell_angle_beta 90.00
_cell_angle_gamma 90.00
_symmetry_space_group_name_H-M 'P m m m'
_symmetry_Int_Tables_number 47
loop_
_symmetry_equiv_pos_as_xyz
'x,y,z'
'-x,-y,-z'
'-x,-y,z'
'x,y,-z'
'x,-y,-z'
'-x,y,z'
'-x,y,-z'
'x,-y,z'
loop_
_atom_site_label
_atom_site_type_symbol
_atom_site_fract_x
_atom_site_fract_y
_atom_site_fract_z
Sc1 Sc 0.0000 0.0000 0.0000
P1 P 0.0000 0.5000 0.5000
P2 P 0.5000 0.0000 0.5000
Se1 Se 0.5000 0.5000 0.0000



No. 4
# ScP2Se PBE optimized geometry
# **Uncorrected formation energy**: -0.43 eV/atom
# **Electronic total energy**: -22.36 eV per cell
data_ScP2Se
_cell_length_a 3.8254
_cell_length_b 3.8254
_cell_length_c 5.2079
_cell_angle_alpha 90.00
_cell_angle_beta 90.00
_cell_angle_gamma 90.00
_symmetry_space_group_name_H-M 'P 4/m m m'
_symmetry_Int_Tables_number 123
_symmetry_space_group_name_Hall '-P 4 2'
loop_
_atom_site_label
_atom_site_type_symbol
_atom_site_fract_x
_atom_site_fract_y
_atom_site_fract_z
Sc1 Sc 0.0000 0.0000 0.0000
P1 P 0.5000 0.5000 0.2044
Se1 Se 0.0000 0.0000 0.5000



No. 5
# Sc2PSe PBE optimized geometry
# **Uncorrected formation energy**: -1.17 eV/atom
# **Electronic total energy**: -52.50 eV per cell
# **Excess energy over the best structure of this formula in the dataset**: 1.85 eV/f.u.
data_Sc2PSe
_cell_length_a 4.0559
_cell_length_b 5.4320
_cell_length_c 7.0194
_cell_angle_alpha 90.00
_cell_angle_beta 90.00
_cell_angle_gamma 90.00
_symmetry_space_group_name_H-M 'C m m m'
_symmetry_Int_Tables_number 65
_symmetry_space_group_name_Hall '-C 2 2'
loop_
_atom_site_label
_atom_site_type_symbol
_atom_site_fract_x
_atom_site_fract_y
_atom_site_fract_z
Sc1 Sc 0.0000 0.0000 0.2353
P1 P 0.0000 0.5000 0.0000
Se1 Se 0.0000 0.5000 0.5000



No. 6
# Sc8P4Se3 PBE optimized geometry
# **Uncorrected formation energy**: -1.47 eV/atom
# **Electronic total energy**: -209.70 eV per cell
data_Sc8P4Se3
_cell_length_a 10.6862
_cell_length_b 10.7065
_cell_length_c 7.5461
_cell_angle_alpha 90.00
_cell_angle_beta 134.83
_cell_angle_gamma 90.00
_symmetry_space_group_name_H-M 'C 1 2/m 1'
_symmetry_Int_Tables_number 12
loop_
_symmetry_equiv_pos_as_xyz
'x,y,z'
'-x,-y,-z'
'-x,y,-z'
'x,-y,z'
'x+1/2,y+1/2,z'
'-x+1/2,-y+1/2,-z'
'-x+1/2,y+1/2,-z'
'x+1/2,-y+1/2,z'
loop_
_atom_site_label
_atom_site_type_symbol
_atom_site_fract_x
_atom_site_fract_y
_atom_site_fract_z
Sc1 Sc 0.0000 0.2410 0.0000
Sc2 Sc 0.0000 0.2425 0.5000
Sc3 Sc 0.2337 0.0000 0.9821
Sc4 Sc 0.2397 0.0000 0.4884
P1 P 0.0000 0.0000 0.0000
P2 P 0.0000 0.0000 0.5000
P3 P 0.2500 0.2500 0.5000
Se1 Se 0.0000 0.5000 0.0000
Se2 Se 0.2500 0.2500 0.0000



No. 7
# ScPSe2 PBE optimized geometry
# **Uncorrected formation energy**: -0.50 eV/atom
# **Electronic total energy**: -41.43 eV per cell
data_ScPSe2
_cell_length_a 3.6861
_cell_length_b 3.6861
_cell_length_c 12.6073
_cell_angle_alpha 90.00
_cell_angle_beta 90.00
_cell_angle_gamma 90.00
_symmetry_space_group_name_H-M 'I -4 m 2'
_symmetry_Int_Tables_number 119
_symmetry_space_group_name_Hall 'I -4 -2'
loop_
_atom_site_label
_atom_site_type_symbol
_atom_site_fract_x
_atom_site_fract_y
_atom_site_fract_z
Sc1 Sc 0.0000 0.0000 0.0000
P1 P 0.0000 0.5000 0.2500
Se1 Se 0.0000 0.0000 0.5000
Se2 Se 0.0000 0.5000 0.7500



No. 8
# ScP2Se PBE optimized geometry
# **Uncorrected formation energy**: -0.49 eV/atom
# **Electronic total energy**: -45.23 eV per cell
data_ScP2Se
_cell_length_a 3.4745
_cell_length_b 4.7934
_cell_length_c 8.3307
_cell_angle_alpha 90.00
_cell_angle_beta 90.00
_cell_angle_gamma 90.00
_symmetry_space_group_name_H-M 'I m m 2'
_symmetry_Int_Tables_number 44
loop_
_symmetry_equiv_pos_as_xyz
'x,y,z'
'-x,-y,z'
'-x,y,z'
'x,-y,z'
'x+1/2,y+1/2,z+1/2'
'-x+1/2,-y+1/2,z+1/2'
'-x+1/2,y+1/2,z+1/2'
'x+1/2,-y+1/2,z+1/2'
loop_
_atom_site_label
_atom_site_type_symbol
_atom_site_fract_x
_atom_site_fract_y
_atom_site_fract_z
Sc1 Sc 0.0000 0.0000 0.0000
P1 P 0.0000 0.0000 0.5182
P2 P 0.0000 0.5000 0.1948
Se1 Se 0.0000 0.5000 0.7761



No. 9
# ScPSe2 PBE optimized geometry
# **Uncorrected formation energy**: -0.61 eV/atom
# **Electronic total energy**: -21.13 eV per cell
data_ScPSe2
_cell_length_a 3.8493
_cell_length_b 3.7929
_cell_length_c 5.6474
_cell_angle_alpha 90.00
_cell_angle_beta 95.95
_cell_angle_gamma 90.00
_symmetry_space_group_name_H-M 'P 1 2/m 1'
_symmetry_Int_Tables_number 10
loop_
_symmetry_equiv_pos_as_xyz
'x,y,z'
'-x,-y,-z'
'-x,y,-z'
'x,-y,z'
loop_
_atom_site_label
_atom_site_type_symbol
_atom_site_fract_x
_atom_site_fract_y
_atom_site_fract_z
Sc1 Sc 0.0000 0.0000 0.0000
P1 P 0.5000 0.5000 0.5000
Se1 Se 0.0000 0.0000 0.5000
Se2 Se 0.5000 0.5000 0.0000



No. 10
# ScPSe2 PBE optimized geometry
# **Uncorrected formation energy**: -0.08 eV/atom
# **Electronic total energy**: -76.13 eV per cell
data_ScPSe2
_cell_length_a 6.7522
_cell_length_b 6.7522
_cell_length_c 6.7522
_cell_angle_alpha 90.00
_cell_angle_beta 90.00
_cell_angle_gamma 90.00
_symmetry_space_group_name_H-M 'F -4 3 m'
_symmetry_Int_Tables_number 216
_symmetry_space_group_name_Hall 'F -4 2 3'
loop_
_atom_site_label
_atom_site_type_symbol
_atom_site_fract_x
_atom_site_fract_y
_atom_site_fract_z
Sc1 Sc 0.0000 0.0000 0.0000
P1 P 0.2500 0.2500 0.7500
Se1 Se 0.0000 0.0000 0.5000
Se2 Se 0.2500 0.2500 0.2500



No. 11
# Sc2PSe PBE optimized geometry
# **Uncorrected formation energy**: -1.19 eV/atom
# **Electronic total energy**: -26.33 eV per cell
# **Excess energy over the best structure of this formula in the dataset**: 1.78 eV/f.u.
data_Sc2PSe
_cell_length_a 3.3716
_cell_length_b 3.4474
_cell_length_c 6.7464
_cell_angle_alpha 90.00
_cell_angle_beta 102.28
_cell_angle_gamma 90.00
_symmetry_space_group_name_H-M 'P 1 2/m 1'
_symmetry_Int_Tables_number 10
loop_
_symmetry_equiv_pos_as_xyz
'x,y,z'
'-x,-y,-z'
'-x,y,-z'
'x,-y,z'
loop_
_atom_site_label
_atom_site_type_symbol
_atom_site_fract_x
_atom_site_fract_y
_atom_site_fract_z
Sc1 Sc 0.0707 0.0000 0.2670
P1 P 0.5000 0.5000 0.5000
Se1 Se 0.5000 0.5000 0.0000



No. 12
# ScPSe2 PBE optimized geometry
# **Uncorrected formation energy**: -0.77 eV/atom
# **Electronic total energy**: -43.56 eV per cell
data_ScPSe2
_cell_length_a 3.7489
_cell_length_b 4.0031
_cell_length_c 13.5492
_cell_angle_alpha 90.00
_cell_angle_beta 90.00
_cell_angle_gamma 90.00
_symmetry_space_group_name_H-M 'I m m m'
_symmetry_Int_Tables_number 71
_symmetry_space_group_name_Hall '-I 2 2'
loop_
_atom_site_label
_atom_site_type_symbol
_atom_site_fract_x
_atom_site_fract_y
_atom_site_fract_z
Sc1 Sc 0.0000 0.0000 0.0000
P1 P 0.0000 0.0000 0.5000
Se1 Se 0.0000 0.5000 0.1370



No. 13
# ScP2Se PBE optimized geometry
# **Uncorrected formation energy**: -0.57 eV/atom
# **Electronic total energy**: -22.90 eV per cell
data_ScP2Se
_cell_length_a 3.4137
_cell_length_b 3.4137
_cell_length_c 7.5497
_cell_angle_alpha 90.00
_cell_angle_beta 90.00
_cell_angle_gamma 90.00
_symmetry_space_group_name_H-M 'P 4 m m'
_symmetry_Int_Tables_number 99
loop_
_symmetry_equiv_pos_as_xyz
'x,y,z'
'-y,x,z'
'-x,-y,z'
'y,-x,z'
'-x,y,z'
'y,x,z'
'x,-y,z'
'-y,-x,z'
loop_
_atom_site_label
_atom_site_type_symbol
_atom_site_fract_x
_atom_site_fract_y
_atom_site_fract_z
Sc1 Sc 0.0000 0.0000 0.0000
P1 P 0.0000 0.0000 0.6505
P2 P 0.5000 0.5000 0.6840
Se1 Se 0.5000 0.5000 0.1571